# LaAuS2, relaxed, DFT PBE
# Calculated total energy ... -5.46 eV/atom
# V ... 451.1 Å³ per cell
# Calculated density ... 5.89 Mg/m³
data_LaAuS2
_cell_length_a 7.537
_cell_length_b 4.380
_cell_length_c 15.572
_cell_angle_alpha 90.00
_cell_angle_beta 118.66
_cell_angle_gamma 90.00
_space_group_name_H-M_alt 'P 1 21/c 1'
_space_group_IT_number 14
loop_
_space_group_symop_operation_xyz
'x,y,z'
'-x,-y,-z'
'-x,y+1/2,-z+1/2'
'x,-y+1/2,z+1/2'
loop_
_atom_site_label
_atom_site_fract_x
_atom_site_fract_y
_atom_site_fract_z
La1 0.197 0.250 0.446
Au1 0.249 0.000 0.250
S1 0.095 0.239 0.603
S2 0.391 0.738 0.397

---

# AcGdPt, relaxed, DFT PBE
# Calculated total energy ... -8.78 eV/atom
# V ... 380.7 Å³ per cell
# Calculated formation energy ... -0.701 eV per atom
# Calculated density ... 10.11 Mg/m³
data_AcGdPt
_cell_length_a 7.247
_cell_length_b 7.247
_cell_length_c 7.247
_cell_angle_alpha 90.00
_cell_angle_beta 90.00
_cell_angle_gamma 90.00
_space_group_name_H-M_alt 'F -4 3 m'
_space_group_IT_number 216
_space_group_name_Hall 'F -4 2 3'
loop_
_atom_site_label
_atom_site_fract_x
_atom_site_fract_y
_atom_site_fract_z
Ac1 0.000 0.000 0.000
Gd1 0.000 0.000 0.500
Pt1 0.250 0.250 0.250

---

# CsHgSbSe3, relaxed, DFT PBE
# Calculated total energy ... -3.15 eV/atom
# V ... 817.8 Å³ per cell
# Calculated density ... 5.62 Mg/m³
data_CsHgSbSe3
_cell_length_a 4.340
_cell_length_b 16.114
_cell_length_c 11.693
_cell_angle_alpha 90.00
_cell_angle_beta 90.00
_cell_angle_gamma 90.00
_space_group_name_H-M_alt 'C m c 21'
_space_group_IT_number 36
loop_
_space_group_symop_operation_xyz
'x,y,z'
'-x,-y,z+1/2'
'-x,y,z'
'x,-y,z+1/2'
'x+1/2,y+1/2,z'
'-x+1/2,-y+1/2,z+1/2'
'-x+1/2,y+1/2,z'
'x+1/2,-y+1/2,z+1/2'
loop_
_atom_site_label
_atom_site_fract_x
_atom_site_fract_y
_atom_site_fract_z
Cs1 0.000 0.242 0.000
Hg1 0.000 0.050 0.507
Sb1 0.000 0.497 0.258
Se1 0.000 0.119 0.299
Se2 0.000 0.120 0.709
Se3 0.000 0.442 0.474

---

# CaMg6Bi, relaxed, DFT PBE
# Calculated total energy ... -2.02 eV/atom
# V ... 412.4 Å³ per cell
# Calculated formation energy ... -0.087 eV per atom
# Calculated density ... 3.18 Mg/m³
data_CaMg6Bi
_cell_length_a 5.202
_cell_length_b 6.704
_cell_length_c 11.826
_cell_angle_alpha 90.00
_cell_angle_beta 90.00
_cell_angle_gamma 90.00
_space_group_name_H-M_alt 'A m m 2'
_space_group_IT_number 38
loop_
_space_group_symop_operation_xyz
'x,y,z'
'-x,-y,z'
'-x,y,z'
'x,-y,z'
'x,y+1/2,z+1/2'
'-x,-y+1/2,z+1/2'
'-x,y+1/2,z+1/2'
'x,-y+1/2,z+1/2'
loop_
_atom_site_label
_atom_site_fract_x
_atom_site_fract_y
_atom_site_fract_z
Ca1 0.000 0.000 0.000
Mg1 0.000 0.000 0.520
Mg2 0.000 0.231 0.253
Mg3 0.500 0.000 0.359
Mg4 0.500 0.243 0.604
Bi1 0.500 0.000 0.837

---

# Na2GaSn, relaxed, DFT PBE
# Calculated total energy ... -2.54 eV/atom
# V ... 443.7 Å³ per cell
# Calculated formation energy ... -0.124 eV per atom
# Calculated density ... 3.51 Mg/m³
data_Na2GaSn
_cell_length_a 11.089
_cell_length_b 5.131
_cell_length_c 8.765
_cell_angle_alpha 90.00
_cell_angle_beta 117.16
_cell_angle_gamma 90.00
_space_group_name_H-M_alt 'C 1 m 1'
_space_group_IT_number 8
loop_
_space_group_symop_operation_xyz
'x,y,z'
'x,-y,z'
'x+1/2,y+1/2,z'
'x+1/2,-y+1/2,z'
loop_
_atom_site_label
_atom_site_fract_x
_atom_site_fract_y
_atom_site_fract_z
Na1 0.000 0.000 0.000
Na2 0.007 0.000 0.462
Na3 0.107 0.500 0.813
Na4 0.367 0.000 0.153
Ga1 0.260 0.500 0.593
Ga2 0.286 0.000 0.431
Sn1 0.192 0.500 0.243
Sn2 0.296 0.000 0.761

---

# CeErTm2S4, relaxed, DFT PBE
# Calculated total energy ... -6.46 eV/atom
# V ... 166.9 Å³ per cell
# Calculated density ... 7.70 Mg/m³
data_CeErTm2S4
_cell_length_a 6.750
_cell_length_b 3.867
_cell_length_c 6.768
_cell_angle_alpha 90.00
_cell_angle_beta 109.15
_cell_angle_gamma 90.00
_space_group_name_H-M_alt 'P 1 2/m 1'
_space_group_IT_number 10
loop_
_space_group_symop_operation_xyz
'x,y,z'
'-x,-y,-z'
'-x,y,-z'
'x,-y,z'
loop_
_atom_site_label
_atom_site_fract_x
_atom_site_fract_y
_atom_site_fract_z
Ce1 0.000 0.000 0.000
Er1 0.500 0.500 0.000
Tm1 0.000 0.500 0.500
Tm2 0.500 0.000 0.500
S1 0.254 0.000 0.743
S2 0.260 0.500 0.262

---

# KMnFe2Pt, relaxed, DFT PBE
# Calculated total energy ... -4.43 eV/atom
# V ... 86.1 Å³ per cell
# Calculated formation energy ... 2.212 eV per atom
# Calculated density ... 7.73 Mg/m³
data_KMnFe2Pt
_cell_length_a 4.322
_cell_length_b 4.322
_cell_length_c 4.609
_cell_angle_alpha 90.00
_cell_angle_beta 90.00
_cell_angle_gamma 90.00
_space_group_name_H-M_alt 'P 4/m m m'
_space_group_IT_number 123
_space_group_name_Hall '-P 4 2'
loop_
_atom_site_label
_atom_site_fract_x
_atom_site_fract_y
_atom_site_fract_z
K1 0.000 0.000 0.000
Mn1 0.000 0.000 0.500
Fe1 0.000 0.500 0.000
Pt1 0.500 0.500 0.500

---

# Ca2PH2, relaxed, DFT PBE
# Calculated total energy ... -3.54 eV/atom
# V ... 167.6 Å³ per cell
# Calculated density ... 2.24 Mg/m³
data_Ca2PH2
_cell_length_a 7.314
_cell_length_b 7.314
_cell_length_c 3.133
_cell_angle_alpha 90.00
_cell_angle_beta 90.00
_cell_angle_gamma 90.00
_space_group_name_H-M_alt 'P 4/m b m'
_space_group_IT_number 127
_space_group_name_Hall '-P 4 2ab'
loop_
_atom_site_label
_atom_site_fract_x
_atom_site_fract_y
_atom_site_fract_z
Ca1 0.156 0.344 0.000
P1 0.000 0.000 0.000
H1 0.110 0.610 0.500